Crystalline NaThB4 at its relaxed geometry, computed with GGA-PBE.

energy above the most stable polymorph in this dataset = 0.0 meV per atom
symmetry = No. 71

Cell lengths 5.308, 5.308, 5.308 Å; angles 145.06, 115.85, 75.18 degrees
Fractional positions:
1 Na 0.000 0.000 0.000
2 Th 0.500 0.500 0.000
3 B 0.076 0.756 0.320
4 B 0.436 0.756 0.680
5 B 0.564 0.244 0.320
6 B 0.924 0.244 0.680


Crystalline LaLuMgPt at its relaxed geometry, computed with GGA-PBE.

energy above the most stable polymorph in this dataset = 0.0 meV per atom
symmetry = No. 216

Cell lengths 5.159, 5.159, 5.159 Å; angles 60.00, 60.00, 60.00 degrees
Fractional positions:
1 La 0.000 0.000 0.000
2 Lu 0.500 0.500 0.500
3 Mg 0.750 0.750 0.750
4 Pt 0.250 0.250 0.250


Crystalline MgZnFeGe at its relaxed geometry, computed with GGA-PBE.

energy above the most stable polymorph in this dataset = 92.6 meV per atom
symmetry = No. 216

Cell lengths 4.317, 4.317, 4.317 Å; angles 60.00, 60.00, 60.00 degrees
Fractional positions:
1 Mg 0.000 0.000 0.000
2 Zn 0.250 0.250 0.250
3 Fe 0.750 0.750 0.750
4 Ge 0.500 0.500 0.500


Crystalline CuC8 at its relaxed geometry, computed with GGA-PBE.

energy above the most stable polymorph in this dataset = 32.7 meV per atom
symmetry = No. 191

Cell lengths 4.965, 4.965, 4.177 Å; angles 90.00, 90.00, 120.00 degrees
Fractional positions:
1 Cu 0.000 0.000 0.000
2 C 0.168 0.335 0.500
3 C 0.168 0.832 0.500
4 C 0.333 0.667 0.500
5 C 0.335 0.168 0.500
6 C 0.665 0.832 0.500
7 C 0.667 0.333 0.500
8 C 0.832 0.168 0.500
9 C 0.832 0.665 0.500


Short version: uncorrected energy = -0.436, -0.353, -0.273, -0.607 Ry per atom, in the order given.